Here is Sr4NiW after structural relaxation from the Alexandria database. Energies are from PBE.

Summary:
symmetry = F-43m, No. 216
D(E_F) = 1.378 states/eV/atom
magnetization = 0.871 μB/atom
E = -15.94 eV for the cell shown
energy of formation from the pure elements = 918 kJ/mol of formula units

Lattice parameters (Å, degrees): 6.697 6.697 6.697 60.00 60.00 60.00
Atoms (fractional coordinates):
Sr 0.125 0.125 0.125
Sr 0.125 0.125 0.625
Sr 0.125 0.625 0.125
Sr 0.625 0.125 0.125
Ni 0.500 0.500 0.500
W 0.750 0.750 0.750


Here is SrNiW after structural relaxation from the Alexandria database. Energies are from PBE.

Summary:
symmetry = Cmcm, No. 63
D(E_F) = 0.923 states/eV/atom
magnetization = 0.000 μB/atom
relative energy among the computed polymorphs = 3 meV/atom
E = -38.81 eV for the cell shown
energy of formation from the pure elements = 97 kJ/mol of formula units

Lattice parameters (Å, degrees): 6.205 6.205 5.140 90.00 90.00 139.37
Atoms (fractional coordinates):
Sr 0.209 0.791 0.750
Sr 0.791 0.209 0.250
Ni 0.049 0.951 0.250
Ni 0.951 0.049 0.750
W 0.500 0.500 0.000
W 0.500 0.500 0.500


Here is SrNiW after structural relaxation from the Alexandria database. Energies are from PBE.

Summary:
symmetry = F-43m, No. 216
D(E_F) = 0.803 states/eV/atom
magnetization = 1.373 μB/atom
relative energy among the computed polymorphs = 2006 meV/atom
E = -13.40 eV for the cell shown
energy of formation from the pure elements = 677 kJ/mol of formula units

Lattice parameters (Å, degrees): 4.837 4.837 4.837 60.00 60.00 60.00
Atoms (fractional coordinates):
Sr 0.000 0.000 0.000
Ni 0.250 0.250 0.250
W 0.750 0.750 0.750


Here is SrNiW after structural relaxation from the Alexandria database. Energies are from PBE.

Summary:
symmetry = P-1, No. 2
D(E_F) = 0.997 states/eV/atom
magnetization = 0.000 μB/atom
relative energy among the computed polymorphs = 12 meV/atom
E = -38.76 eV for the cell shown
energy of formation from the pure elements = 100 kJ/mol of formula units

Lattice parameters (Å, degrees): 3.216 3.303 12.146 88.62 89.33 89.84
Atoms (fractional coordinates):
Sr 0.235 0.264 0.347
Sr 0.765 0.736 0.653
Ni 0.256 0.227 0.836
Ni 0.744 0.773 0.164
W 0.248 0.291 0.064
W 0.752 0.709 0.936


Here is SrNiW after structural relaxation from the Alexandria database. Energies are from PBE.

Summary:
symmetry = Cm, No. 8
D(E_F) = 1.211 states/eV/atom
magnetization = 0.000 μB/atom
relative energy among the computed polymorphs = 98 meV/atom
E = -38.25 eV for the cell shown
energy of formation from the pure elements = 125 kJ/mol of formula units

Lattice parameters (Å, degrees): 6.139 6.139 5.239 92.45 92.45 40.67
Atoms (fractional coordinates):
Sr 0.000 0.000 0.000
Sr 0.554 0.554 0.498
Ni 0.278 0.278 0.248
Ni 0.815 0.815 0.504
W 0.277 0.277 0.735
W 0.735 0.735 0.020


Here is SrNi2W after structural relaxation from the Alexandria database. Energies are from PBE.

Summary:
symmetry = I4_1/amd, No. 141
D(E_F) = 0.392 states/eV/atom
magnetization = 0.000 μB/atom
relative energy among the computed polymorphs = 542 meV/atom
E = -46.50 eV for the cell shown
energy of formation from the pure elements = 284 kJ/mol of formula units

Lattice parameters (Å, degrees): 8.544 8.544 8.544 146.55 146.55 48.03
Atoms (fractional coordinates):
Sr 0.375 0.625 0.750
Sr 0.625 0.375 0.250
Ni 0.000 0.000 0.000
Ni 0.000 0.000 0.500
Ni 0.000 0.500 0.000
Ni 0.500 0.000 0.500
W 0.125 0.875 0.250
W 0.875 0.125 0.750


Here is SrNiW after structural relaxation from the Alexandria database. Energies are from PBE.

Summary:
symmetry = Immm, No. 71
D(E_F) = 0.454 states/eV/atom
magnetization = 0.000 μB/atom
relative energy among the computed polymorphs = 175 meV/atom
E = -37.78 eV for the cell shown
energy of formation from the pure elements = 147 kJ/mol of formula units

Lattice parameters (Å, degrees): 7.502 7.502 7.502 155.26 134.91 52.11
Atoms (fractional coordinates):
Sr 0.195 0.195 0.000
Sr 0.805 0.805 0.000
Ni 0.409 0.909 0.500
Ni 0.591 0.091 0.500
W 0.225 0.500 0.725
W 0.775 0.500 0.275


Here is SrNi2W after structural relaxation from the Alexandria database. Energies are from PBE.

Summary:
symmetry = Fm-3m, No. 225
D(E_F) = 1.576 states/eV/atom
magnetization = 0.115 μB/atom
relative energy among the computed polymorphs = 649 meV/atom
E = -22.82 eV for the cell shown
energy of formation from the pure elements = 325 kJ/mol of formula units

Lattice parameters (Å, degrees): 4.604 4.604 4.604 60.00 60.00 60.00
Atoms (fractional coordinates):
Sr 0.000 0.000 0.000
Ni 0.250 0.250 0.250
Ni 0.750 0.750 0.750
W 0.500 0.500 0.500


Question: Look up the D(E_F) of the second one.
Answer: 0.923 states/eV/atom